A plane-wave DFT calculation with PBE-GGA was carried out for a relaxed KAs2Se crystal.

The uncorrected formation energy is 0.06 eV per atom. The density of states at the Fermi level comes out at 0.222 states/eV/atom.

The space group is Cmmm (No. 65) and the conventional cell measures 6.1325, 10.9272 and 2.8475 Å, with angles of 90.00, 90.00 and 90.00 degrees. The inequivalent atoms are K at (0.0000, 0.0000, 0.0000), As at (0.2500, 0.2500, 0.0000) and Se at (0.0000, 0.5000, 0.0000).